A relaxed CrTcO crystal, computed with PBE+U.

The value obtained for the density of states at the Fermi level is 0.8225 states/eV/atom. The calculation puts the total magnetic moment at 1.349 μB/f.u. The space group is P3m1. The density comes out at 7.3 g/cm³. The electronic total energy comes out at -0.2898 hartree per atom.

Cell lengths 2.826, 2.826, 5.471 Å; angles 90.00, 90.00, 120.00 degrees
Atoms (fractional coordinates):
Cr  0.000  0.000  0.000
Tc  0.333  0.667  0.598
O  0.333  0.667  0.198